Density functional theory data (GGA-PBEsol) for an optimized crystal structure of LiBeF2.

```
data_LiBeF2
_cell_length_a 5.331
_cell_length_b 5.331
_cell_length_c 5.331
_cell_angle_alpha 90.00
_cell_angle_beta 90.00
_cell_angle_gamma 90.00
_symmetry_space_group_name_H-M 'F m -3 m'
_symmetry_Int_Tables_number 225
_symmetry_space_group_name_Hall '-F 4 2 3'
loop_
_atom_site_label
_atom_site_type_symbol
_atom_site_fract_x
_atom_site_fract_y
_atom_site_fract_z
_atom_site_occupancy
Li1 Li 0.000 0.000 0.000 1
Be1 Be 0.000 0.000 0.500 1
F1 F 0.250 0.250 0.250 1
```

Values from the calculation:
The calculation puts the total moment at 0.0 μB per formula unit. As for the energy relative to the elements, uncorrected: -5.60 eV/f.u. The value obtained for the density of states at the Fermi level is 0.21 states/eV per atom.